# 1
ZnOs3Au: optimized geometry, PBE-GGA.

```
data_ZnOs3Au
_cell_length_a 4.484
_cell_length_b 4.484
_cell_length_c 4.484
_cell_angle_alpha 90.00
_cell_angle_beta 90.00
_cell_angle_gamma 90.00
_space_group_name_H-M_alt 'P m -3 m'
_space_group_IT_number 221
_space_group_name_Hall '-P 4 2 3'
loop_
_atom_site_label
_atom_site_type_symbol
_atom_site_fract_x
_atom_site_fract_y
_atom_site_fract_z
Zn1 Zn 0.000 0.000 0.000
Os1 Os 0.000 0.000 0.500
Au1 Au 0.500 0.500 0.500
```

Computed properties:
- crystal system = cubic
- total energy (eV per formula unit) = -27.3
- energy relative to the elements (eV/f.u.) = 10.93

=====

# 2
PuPaNi: optimized geometry, PBE-GGA.

```
data_PuPaNi
_cell_length_a 3.489
_cell_length_b 3.489
_cell_length_c 9.837
_cell_angle_alpha 90.00
_cell_angle_beta 90.00
_cell_angle_gamma 90.00
_space_group_name_H-M_alt 'I 4 m m'
_space_group_IT_number 107
_space_group_name_Hall 'I 4 -2'
loop_
_atom_site_label
_atom_site_type_symbol
_atom_site_fract_x
_atom_site_fract_y
_atom_site_fract_z
Pu1 Pu 0.000 0.000 0.000
Pa1 Pa 0.000 0.000 0.312
Ni1 Ni 0.000 0.000 0.677
```

Computed properties:
- crystal system = tetragonal
- total energy (eV per formula unit) = -30.0
- energy relative to the elements (eV/f.u.) = -0.35

=====

Results for DOS(E_F): 1.025; 1.942 (in states/eV per atom, following the order of the records).
Results for energy relative to the lowest polymorph listed for this composition: 0; 49 (in meV/atom, following the order of the records).
Results for M_tot: 2.25; 6.01 (in μB/f.u., following the order of the records).